Entry 1:
The following is a DFT calculation (GGA-PBE) of a geometry-optimized ZrCdTc2I structure.

* magnetic moment: 0.00 μB per cell
* ΔE_f (raw): 1.68 eV per atom
* V: 122 Å³ per cell

a b c (Å): 4.800 5.276 4.800
angles (deg): 90.00 90.00 90.00
Sites, in units of the cell vectors:
1 I 0.000 0.000 0.000
2 Tc 0.000 0.000 0.500
3 Tc 0.500 0.000 0.000
4 Zr 0.500 0.500 0.500
5 Cd 0.000 0.500 0.000

Entry 2:
The following is a DFT calculation (GGA-PBE) of a geometry-optimized CdTe2I structure.

* magnetic moment: 0.00 μB per cell
* excess energy over the best structure of this formula in the dataset: 0.000 eV/atom
* ΔE_f (raw): -0.05 eV per atom
* V: 154 Å³ per cell

a b c (Å): 9.369 9.369 9.369
angles (deg): 27.41 27.41 27.41
Sites, in units of the cell vectors:
1 I 0.000 0.000 0.000
2 Te 0.891 0.891 0.891
3 Te 0.109 0.109 0.109
4 Cd 0.500 0.500 0.500

Entry 3:
The following is a DFT calculation (GGA-PBE) of a geometry-optimized CdTeI structure.

* magnetic moment: 0.00 μB per cell
* excess energy over the best structure of this formula in the dataset: 0.000 eV/atom
* ΔE_f (raw): -0.42 eV per atom
* V: 242 Å³ per cell

a b c (Å): 4.575 7.084 8.025
angles (deg): 81.03 90.23 70.92
Sites, in units of the cell vectors:
1 Cd 0.561 0.383 0.291
2 Cd 0.439 0.617 0.709
3 Te 0.099 0.304 0.098
4 Te 0.901 0.696 0.902
5 I 0.655 0.202 0.642
6 I 0.345 0.798 0.358